(1)
Here is crystalline K2ErNi3F12 at its relaxed geometry from the Alexandria database. Energies are from PBE+U.

Structure (POSCAR):
```
K2ErNi3F12
1.0
-0.685 2.944 -6.742
5.023 -1.395 -5.236
-1.701 -4.251 -5.799
K F Ni Er
2 12 3 1
Direct
0.621 0.621 0.621
0.379 0.379 0.379
0.914 0.306 0.306
0.306 0.306 0.914
0.086 0.694 0.694
0.694 0.086 0.694
0.906 0.906 0.358
0.094 0.642 0.094
0.306 0.914 0.306
0.642 0.094 0.094
0.358 0.906 0.906
0.694 0.694 0.086
0.906 0.358 0.906
0.094 0.094 0.642
0.000 0.000 0.500
0.500 0.000 0.000
0.000 0.500 0.000
0.000 0.000 0.000
```

The calculated density comes out at 3.83 g/cm3. For the density of states at the Fermi level, the calculation gives 1.46 states/eV per cell. The calculation puts the magnetic moment at 5.00 μB/cell. As for the electronic total energy: -4.7008 eV per atom.


(2)
Here is crystalline KErNiF6 at its relaxed geometry from the Alexandria database. Energies are from PBE+U.

Structure (POSCAR):
```
KErNiF6
1.0
8.045 0.000 0.000
0.000 7.574 0.000
-4.023 -3.787 5.444
F Ni Er K
12 2 2 2
Direct
0.544 0.333 0.733
0.829 0.079 0.658
0.190 0.900 0.733
0.810 0.667 0.267
0.171 0.921 0.342
0.190 0.333 0.733
0.456 0.667 0.267
0.546 0.296 0.093
0.810 0.100 0.267
0.544 0.900 0.733
0.454 0.704 0.907
0.456 0.100 0.267
0.500 0.000 0.000
0.500 0.500 0.000
0.500 0.000 0.500
0.000 0.000 0.500
0.782 0.532 0.564
0.218 0.468 0.436
```

The calculated density comes out at 3.80 g/cm3. For the density of states at the Fermi level, the calculation gives 0.00 states/eV per cell. The calculation puts the magnetic moment at 3.99 μB/cell. As for the electronic total energy: -5.3306 eV per atom.


> Which formula does entry 2 have?

KErNiF6


> What is the formula in the second record?

KErNiF6


> Which value of magnetic moment does entry 2 give?

3.99 μB/cell


> Look up the magnetic moment of the second one.

3.99 μB/cell